Entry 1:
Below is an optimized crystal structure of TbCoGe, with properties calculated at the PBE level.

Lattice parameters (Å, degrees): 6.9772 4.2720 7.0939 90.00 90.00 90.00
Fractional positions:
Tb: 0.0158 0.2500 0.1938
Tb: 0.4842 0.7500 0.6938
Tb: 0.5158 0.2500 0.3062
Tb: 0.9842 0.7500 0.8062
Co: 0.1504 0.7500 0.4335
Co: 0.3496 0.2500 0.9335
Co: 0.6504 0.7500 0.0665
Co: 0.8496 0.2500 0.5665
Ge: 0.1996 0.2500 0.6039
Ge: 0.3004 0.7500 0.1039
Ge: 0.6996 0.2500 0.8961
Ge: 0.8004 0.7500 0.3961

Properties
DOS(E_F) (states/eV/f.u.): 2.12
Uncorrected energy (eV/atom): -6.106
ΔE_f (eV per atom): -0.655



Entry 2:
Below is an optimized crystal structure of CeTm2Tl, with properties calculated at the PBE level.

Lattice parameters (Å, degrees): 7.5699 7.5699 7.5699 90.00 90.00 90.00
Fractional positions:
Ce: 0.0000 0.0000 0.0000
Ce: 0.0000 0.5000 0.5000
Ce: 0.5000 0.0000 0.5000
Ce: 0.5000 0.5000 0.0000
Tm: 0.2500 0.2500 0.2500
Tm: 0.2500 0.2500 0.7500
Tm: 0.2500 0.7500 0.2500
Tm: 0.2500 0.7500 0.7500
Tm: 0.7500 0.2500 0.2500
Tm: 0.7500 0.2500 0.7500
Tm: 0.7500 0.7500 0.2500
Tm: 0.7500 0.7500 0.7500
Tl: 0.0000 0.0000 0.5000
Tl: 0.0000 0.5000 0.0000
Tl: 0.5000 0.0000 0.0000
Tl: 0.5000 0.5000 0.5000

Properties
E above lowest polymorph (meV/atom): 180
DOS(E_F) (states/eV/f.u.): 6.37
Uncorrected energy (eV/atom): -4.263
ΔE_f (eV per atom): 0.048



Q: ΔE_f of number 1 (TbCoGe)?
A: -0.655 eV per atom



Q: Look up the DOS(E_F) of the first one.
A: 2.12 states/eV/f.u.



Q: Which value of uncorrected energy does entry 1 give?
A: -6.106 eV/atom



Q: Which formula does entry 2 have?
A: CeTm2Tl